1.
DFT (PBE) results for a relaxed structure of BSbRu2. Values from VASP.

Results
Formation energy (no corrections)   9.276 kcal/mol of atoms
Symmetry   No. 225
DOS at the Fermi energy   0.211 states/eV/atom
Relative energy among the computed polymorphs   0.36 kcal/mol of atoms

```
&SYSTEM
  ibrav = 0, nat = 4, ntyp = 3
/
ATOMIC_SPECIES
B 10.81 B.upf
Ru 101.07 Ru.upf
Sb 121.76 Sb.upf
CELL_PARAMETERS angstrom
0.0000 3.0224 3.0224
3.0224 0.0000 3.0224
3.0224 3.0224 0.0000
ATOMIC_POSITIONS angstrom
B 0.0000 0.0000 0.0000
Ru 4.5335 4.5335 4.5335
Ru 1.5112 1.5112 1.5112
Sb 3.0224 3.0224 3.0224
```

2.
DFT (PBE) results for a relaxed structure of CsPb2Br4. Values from VASP.

Results
Formation energy (no corrections)   -23.301 kcal/mol of atoms
Symmetry   No. 1

```
&SYSTEM
  ibrav = 0, nat = 14, ntyp = 3
/
ATOMIC_SPECIES
Cs 132.91 Cs.upf
Br 79.90 Br.upf
Pb 207.20 Pb.upf
CELL_PARAMETERS angstrom
8.9860 -0.8307 -0.2083
-1.4955 7.9583 0.1699
-3.5842 -3.7227 8.4478
ATOMIC_POSITIONS angstrom
Cs -0.0175 0.0004 0.1736
Cs -0.6609 3.9008 3.8620
Br 4.9460 1.5745 5.5662
Br 5.9815 3.8494 0.9519
Br 0.2135 1.9070 6.6766
Br 1.5543 3.2261 1.0261
Br 4.2532 -2.6120 5.4949
Br 0.0440 -2.1527 6.5879
Br 7.1320 -0.7018 3.1701
Br 1.9662 -0.2275 3.2911
Pb 3.4984 5.0757 2.5878
Pb 4.1035 1.9305 2.5332
Pb 2.2916 -0.2883 6.1794
Pb -2.0540 0.0579 6.2768
```

3.
DFT (PBE) results for a relaxed structure of LiLaMnOs2. Values from VASP.

Results
DFT formation energy   0.877 eV per atom
Symmetry   No. 123
DOS at the Fermi energy   0.801 states/eV/atom

```
&SYSTEM
  ibrav = 0, nat = 5, ntyp = 4
/
ATOMIC_SPECIES
Os 190.23 Os.upf
La 138.91 La.upf
Li 6.94 Li.upf
Mn 54.94 Mn.upf
CELL_PARAMETERS angstrom
-0.1610 4.4287 0.9949
-1.8337 -1.0854 4.5350
4.2238 -0.2184 1.6556
ATOMIC_POSITIONS angstrom
Os 2.1119 -0.1092 0.8278
Os -0.0805 2.2144 0.4974
La -0.9168 -0.5427 2.2675
Li 1.1146 1.5624 3.5928
Mn 0.0000 0.0000 0.0000
```

4.
DFT (PBE) results for a relaxed structure of Pr12Tm3Hg. Values from VASP.

Results
DFT formation energy   -0.028 eV per atom
Symmetry   No. 123
DOS at the Fermi energy   1.363 states/eV/atom

```
&SYSTEM
  ibrav = 0, nat = 16, ntyp = 3
/
ATOMIC_SPECIES
Pr 140.91 Pr.upf
Tm 168.93 Tm.upf
Hg 200.59 Hg.upf
CELL_PARAMETERS angstrom
5.1080 0.0000 0.0000
0.0000 5.1080 0.0000
0.0000 0.0000 20.6940
ATOMIC_POSITIONS angstrom
Pr 0.0000 2.5540 2.5195
Pr 2.5540 2.5540 5.1025
Pr 0.0000 2.5540 7.7347
Pr 2.5540 2.5540 15.5916
Pr 2.5540 0.0000 18.1745
Pr 0.0000 2.5540 18.1745
Pr 0.0000 2.5540 12.9594
Pr 2.5540 0.0000 7.7347
Pr 2.5540 2.5540 0.0000
Pr 2.5540 2.5540 10.3470
Pr 2.5540 0.0000 12.9594
Pr 2.5540 0.0000 2.5195
Tm 0.0000 0.0000 10.3470
Tm 0.0000 0.0000 5.1290
Tm 0.0000 0.0000 15.5650
Hg 0.0000 0.0000 0.0000
```